Entry from the Alexandria database: a relaxed Ba2LuB2ClO6 crystal (GGA-PBE).

Values from the calculation:
The value obtained for the volume is 386.1 Å³/cell. As for the density: 5.2 Mg/m³. The value obtained for the total energy is -7.38 eV per atom. The density of states at the Fermi level is 0.0 states/eV/cell.

Lattice parameters (Å, degrees): 5.300 6.410 11.427 83.95 90.00 90.00
Fractional positions:
B1 0.250 0.621 0.231
B2 0.750 0.379 0.769
B3 0.750 0.209 0.431
B4 0.250 0.791 0.569
O1 0.750 0.521 0.852
O2 0.250 0.479 0.148
O3 0.975 0.297 0.730
O4 0.470 0.675 0.561
O5 0.475 0.703 0.270
O6 0.525 0.297 0.730
O7 0.530 0.325 0.439
O8 0.030 0.675 0.561
O9 0.750 0.004 0.408
O10 0.970 0.325 0.439
O11 0.025 0.703 0.270
O12 0.250 0.996 0.592
Ba1 0.750 0.655 0.079
Ba2 0.250 0.092 0.296
Ba3 0.250 0.345 0.921
Ba4 0.750 0.908 0.704
Cl1 0.750 0.148 0.087
Cl2 0.250 0.852 0.913
Lu1 0.750 0.652 0.415
Lu2 0.250 0.348 0.585


Entry from the Alexandria database: a relaxed HS4 crystal (GGA-PBE).

Values from the calculation:
The value obtained for the volume is 266.6 Å³/cell. Its energy above the lowest structure with this stoichiometry is 0 meV per atom. As for the density: 1.6 Mg/m³. The value obtained for the total energy is -3.75 eV per atom. The density of states at the Fermi level is 2.0 states/eV/cell.

Lattice parameters (Å, degrees): 3.773 10.453 10.278 138.87 90.00 90.00
Fractional positions:
S1 0.825 0.026 0.275
S2 0.825 0.474 0.725
S3 0.175 0.526 0.275
S4 0.245 0.563 0.696
S5 0.245 0.937 0.304
S6 0.755 0.437 0.304
S7 0.755 0.063 0.696
S8 0.175 0.974 0.725
H1 0.796 0.250 0.500
H2 0.204 0.750 0.500


Entry from the Alexandria database: a relaxed PrNdSiIr crystal (GGA-PBE).

Values from the calculation:
The value obtained for the volume is 97.3 Å³/cell. As for the density: 8.6 Mg/m³. The value obtained for the total energy is -6.69 eV per atom. The density of states at the Fermi level is 2.7 states/eV/cell.

Lattice parameters (Å, degrees): 4.362 4.139 5.811 90.00 112.05 90.00
Fractional positions:
Ir1 0.431 0.000 0.862
Si1 0.562 0.500 0.124
Nd1 0.861 0.500 0.723
Pr1 0.145 0.000 0.290


Entry from the Alexandria database: a relaxed La8DyTm2 crystal (GGA-PBE).

Values from the calculation:
The value obtained for the volume is 391.1 Å³/cell. Its energy above the lowest structure with this stoichiometry is 22 meV per atom. As for the density: 6.8 Mg/m³. The formation energy is 0.13 eV/atom. The value obtained for the total energy is -4.69 eV per atom. The density of states at the Fermi level is 15.7 states/eV/cell.

Lattice parameters (Å, degrees): 6.065 9.583 9.583 122.32 105.58 105.58
Fractional positions:
La1 0.816 0.905 0.665
La2 0.500 0.794 0.206
La3 0.816 0.665 0.905
La4 0.184 0.335 0.095
La5 0.298 0.580 0.580
La6 0.702 0.420 0.420
La7 0.184 0.095 0.335
La8 0.500 0.206 0.794
Tm1 0.000 0.311 0.689
Tm2 0.000 0.689 0.311
Dy1 0.500 0.000 0.000


Entry from the Alexandria database: a relaxed Tb6Pm2Er3Mg crystal (GGA-PBE).

Values from the calculation:
The value obtained for the volume is 374.9 Å³/cell. As for the density: 7.8 Mg/m³. The formation energy is 0.02 eV/atom. The value obtained for the total energy is -4.36 eV per atom. The density of states at the Fermi level is 16.0 states/eV/cell.

Lattice parameters (Å, degrees): 6.127 6.127 11.721 95.03 95.03 120.06
Fractional positions:
Tb1 0.415 0.084 0.252
Tb2 0.585 0.916 0.748
Tb3 0.752 0.752 0.253
Tb4 0.084 0.415 0.252
Tb5 0.248 0.248 0.747
Tb6 0.916 0.585 0.748
Pm1 0.666 0.334 0.000
Pm2 0.334 0.666 0.000
Er1 0.834 0.166 0.500
Er2 0.166 0.834 0.500
Er3 0.500 0.500 0.500
Mg1 0.000 0.000 0.000


Entry from the Alexandria database: a relaxed Gd3Bi2O8 crystal (GGA-PBE).

Values from the calculation:
The value obtained for the volume is 207.5 Å³/cell. As for the density: 8.1 Mg/m³. The value obtained for the total energy is -9.34 eV per atom. The density of states at the Fermi level is 2.8 states/eV/cell.

Lattice parameters (Å, degrees): 6.860 6.860 9.661 60.92 60.92 31.94
Fractional positions:
Gd1 0.578 0.578 0.609
Gd2 0.022 0.022 0.985
Gd3 0.192 0.192 0.232
O1 0.998 0.998 0.244
O2 0.608 0.608 0.346
O3 0.381 0.381 0.640
O4 0.626 0.626 0.818
O5 0.395 0.395 0.123
O6 0.197 0.197 0.480
O7 0.974 0.974 0.785
O8 0.218 0.218 0.969
Bi1 0.404 0.404 0.366
Bi2 0.800 0.800 0.802


Entry from the Alexandria database: a relaxed Ti2HgPd crystal (GGA-PBE).

Values from the calculation:
The value obtained for the volume is 137.9 Å³/cell. As for the density: 9.7 Mg/m³. The formation energy is -0.22 eV/atom. The value obtained for the total energy is -5.54 eV per atom. The density of states at the Fermi level is 9.8 states/eV/cell.

Lattice parameters (Å, degrees): 4.115 4.117 8.139 90.00 90.00 90.00
Fractional positions:
Ti1 0.750 0.250 0.500
Ti2 0.750 0.250 0.000
Ti3 0.250 0.750 0.000
Ti4 0.250 0.750 0.500
Hg1 0.250 0.250 0.750
Hg2 0.750 0.750 0.250
Pd1 0.750 0.750 0.750
Pd2 0.250 0.250 0.250


Entry from the Alexandria database: a relaxed Na2CuRhO4 crystal (GGA-PBE).

Values from the calculation:
The value obtained for the volume is 91.2 Å³/cell. As for the density: 5.0 Mg/m³. The value obtained for the total energy is -5.29 eV per atom. The density of states at the Fermi level is 3.3 states/eV/cell.

Lattice parameters (Å, degrees): 3.031 5.771 5.756 115.01 90.00 90.00
Fractional positions:
Na1 0.000 0.500 0.500
Na2 0.500 0.000 0.500
Cu1 0.000 0.000 0.000
O1 0.000 0.702 0.234
O2 0.000 0.298 0.766
O3 0.500 0.238 0.157
O4 0.500 0.762 0.843
Rh1 0.500 0.500 0.000